# 1
{"formula": "Tc3BrN", "functional": "PBE", "state": "relaxed", "dos_ef_per_ev_cell": 5.42, "formation_energy_uncorrected_ev_per_fu": 3.81, "final_energy_ev_per_fu": -37.28, "relative_energy_mev_per_atom": 0, "total_magnetization_mub_per_fu": 0.65, "sg": "No. 221", "lattice_angstrom": [[4.131, 0.000, 0.000], [0.000, 4.131, 0.000], [0.000, 0.000, 4.131]], "species": ["Tc", "N", "Tc", "Br", "Tc"], "fractional_positions": [[0.000, 0.000, 0.500], [0.000, 0.000, 0.000], [0.000, 0.500, 0.000], [0.500, 0.500, 0.500], [0.500, 0.000, 0.000]]}

# 2
{"formula": "TcBr3N", "functional": "PBE", "state": "relaxed", "dos_ef_per_ev_cell": 8.53, "formation_energy_uncorrected_ev_per_fu": 7.52, "final_energy_ev_per_fu": -16.19, "relative_energy_mev_per_atom": 1625, "total_magnetization_mub_per_fu": 0.00, "sg": "No. 221", "lattice_angstrom": [[-1.786, 1.608, -4.359], [1.988, -3.956, -2.274], [-4.199, -2.557, 0.778]], "species": ["Tc", "Br", "N", "Br", "Br"], "fractional_positions": [[0.000, 0.000, 0.000], [0.000, 0.500, 0.000], [0.500, 0.500, 0.500], [0.000, 0.000, 0.500], [0.500, 0.000, 0.000]]}

# 3
{"formula": "TcTe2BrN", "functional": "PBE", "state": "relaxed", "dos_ef_per_ev_cell": 6.46, "formation_energy_uncorrected_ev_per_fu": 9.52, "final_energy_ev_per_fu": -17.13, "relative_energy_mev_per_atom": 1581, "total_magnetization_mub_per_fu": 0.00, "sg": "No. 123", "lattice_angstrom": [[-5.182, -0.803, 1.611], [-1.564, -0.427, -5.241], [0.583, -3.536, 0.114]], "species": ["Te", "Tc", "Te", "N", "Br"], "fractional_positions": [[0.000, 0.500, 0.000], [0.500, 0.500, 0.500], [0.500, 0.000, 0.000], [0.000, 0.000, 0.500], [0.000, 0.000, 0.000]]}

# 4
{"formula": "TcTeBrN2", "functional": "PBE", "state": "relaxed", "dos_ef_per_ev_cell": 4.10, "formation_energy_uncorrected_ev_per_fu": 3.34, "final_energy_ev_per_fu": -28.49, "relative_energy_mev_per_atom": 0, "total_magnetization_mub_per_fu": 0.00, "sg": "No. 123", "lattice_angstrom": [[-3.924, -0.355, 0.098], [0.348, -3.916, -0.271], [0.178, -0.383, 5.752]], "species": ["Br", "N", "N", "Te", "Tc"], "fractional_positions": [[0.500, 0.500, 0.500], [0.500, 0.000, 0.000], [0.000, 0.500, 0.000], [0.000, 0.000, 0.500], [0.000, 0.000, 0.000]]}